(1)
Pr4Dy3ScSe8 | Alexandria via LeMat-Bulk | GGA-PBE | optimized geometry; volume = 25.27 Å³/atom; total energy = -5.97 eV per atom; energy relative to the elements, uncorrected = -1772 meV per atom; density = 7.1 g/cm³; spin magnetization = 0.0 Bohr magnetons per cell; SG = R-3m
1.0
4.092 2.362 6.971
-4.092 2.362 6.971
0.000 -4.725 6.971
Pr Dy Sc Se
4 3 1 8
direct
0.000 0.000 0.000
0.000 0.500 0.500
0.500 0.000 0.500
0.500 0.500 0.000
0.000 0.000 0.500
0.000 0.500 0.000
0.500 0.000 0.000
0.500 0.500 0.500
0.244 0.244 0.244
0.250 0.739 0.739
0.261 0.261 0.750
0.261 0.750 0.261
0.739 0.250 0.739
0.739 0.739 0.250
0.750 0.261 0.261
0.756 0.756 0.756

=====

(2)
LiMnAu3 | Alexandria via LeMat-Bulk | GGA-PBE | optimized geometry; volume = 18.06 Å³/atom; excess energy over the best structure of this formula in the dataset = 0.066 eV per atom; ΔE_f = -0.149 eV/atom; total energy = -4.33 eV per atom; density = 12.0 g/cm³; spin magnetization = 8.8 Bohr magnetons per cell; SG = P2_1/m
1.0
4.423 0.000 0.000
0.000 6.224 0.000
-2.210 0.000 6.558
Li Mn Au
2 2 6
direct
0.136 0.250 0.272
0.864 0.750 0.728
0.144 0.750 0.286
0.856 0.250 0.714
0.319 0.506 0.639
0.319 0.994 0.639
0.494 0.250 0.994
0.506 0.750 0.006
0.681 0.006 0.361
0.681 0.494 0.361

=====

(3)
K4RhS4 | Alexandria via LeMat-Bulk | GGA-PBE | optimized geometry; volume = 38.23 Å³/atom; total energy = -3.85 eV per atom; energy relative to the elements, uncorrected = -708 meV per atom; density = 1.9 g/cm³; spin magnetization = 1.0 Bohr magnetons per cell; SG = I-42m
1.0
-3.559 3.559 6.791
3.559 -3.559 6.791
3.559 3.559 -6.791
K Rh S
4 1 4
direct
0.000 0.500 0.500
0.202 0.202 0.000
0.500 0.000 0.500
0.798 0.798 0.000
0.500 0.500 0.000
0.218 0.557 0.000
0.443 0.443 0.661
0.557 0.218 0.000
0.782 0.782 0.339

=====

(4)
Ca2P2H4O9 | Alexandria via LeMat-Bulk | GGA-PBE | optimized geometry; volume = 11.37 Å³/atom; total energy = -6.45 eV per atom; density = 2.5 g/cm³; spin magnetization = 0.0 Bohr magnetons per cell; SG = P-1
1.0
6.748 0.000 0.000
2.193 7.097 0.000
1.817 0.164 8.073
Ca P H O
4 4 8 18
direct
0.189 0.250 0.008
0.240 0.641 0.259
0.760 0.359 0.741
0.811 0.750 0.992
0.239 0.509 0.689
0.334 0.788 0.855
0.666 0.212 0.145
0.761 0.491 0.311
0.169 0.275 0.526
0.181 0.055 0.361
0.194 0.091 0.639
0.404 0.988 0.245
0.596 0.012 0.755
0.806 0.909 0.361
0.819 0.945 0.639
0.831 0.725 0.474
0.021 0.512 0.801
0.106 0.168 0.562
0.161 0.763 0.002
0.247 0.479 0.509
0.252 0.999 0.251
0.275 0.716 0.694
0.323 0.997 0.814
0.408 0.364 0.767
0.442 0.329 0.130
0.558 0.671 0.870
0.592 0.636 0.233
0.677 0.003 0.186
0.725 0.284 0.306
0.748 0.001 0.749
0.753 0.521 0.491
0.839 0.237 0.998
0.894 0.832 0.438
0.979 0.488 0.199

=====

(5)
YBrCl | Alexandria via LeMat-Bulk | GGA-PBE | optimized geometry; volume = 28.69 Å³/atom; total energy = -5.05 eV per atom; energy relative to the elements, uncorrected = -1719 meV per atom; density = 3.9 g/cm³; spin magnetization = 0.0 Bohr magnetons per cell; SG = I4mm
1.0
3.477 0.000 0.000
0.000 3.477 0.000
0.000 0.000 14.237
Y Br Cl
2 2 2
direct
0.000 0.000 0.000
0.500 0.500 0.500
0.000 0.000 0.378
0.500 0.500 0.878
0.000 0.000 0.608
0.500 0.500 0.108

=====

(6)
PrNdPdRu | Alexandria via LeMat-Bulk | GGA-PBE | optimized geometry; volume = 22.95 Å³/atom; ΔE_f = -0.409 eV/atom; total energy = -6.41 eV per atom; density = 8.9 g/cm³; spin magnetization = 0.0 Bohr magnetons per cell; SG = F-43m
1.0
7.161 0.000 0.000
0.000 7.161 0.000
0.000 0.000 7.161
Pr Nd Pd Ru
4 4 4 4
direct
0.000 0.000 0.000
0.000 0.500 0.500
0.500 0.000 0.500
0.500 0.500 0.000
0.000 0.000 0.500
0.000 0.500 0.000
0.500 0.000 0.000
0.500 0.500 0.500
0.250 0.250 0.250
0.250 0.750 0.750
0.750 0.250 0.750
0.750 0.750 0.250
0.250 0.250 0.750
0.250 0.750 0.250
0.750 0.250 0.250
0.750 0.750 0.750

=====

Look up the total energy of the fourth one. -6.45 eV per atom

=====

Which value of total energy does entry 5 give? -5.05 eV per atom

=====

Which value of volume does entry 1 give? 25.27 Å³/atom